Entry A
## PrTh2Ru (PBE-GGA)

Data for PrTh2Ru after structural relaxation.

The value obtained for the density of states at the Fermi level is 1.925 states/eV/atom. The volume comes out at 113.2 Å³ per cell. As for the space-group type: P4/mmm, No. 123.

a = 3.6394 Å, b = 3.6394 Å, c = 8.5478 Å
α = 90.00°, β = 90.00°, γ = 90.00°
Atoms (fractional coordinates):
1 Pr 0.5000 0.5000 0.5000
2 Ru 0.5000 0.5000 0.0000
3 Th 0.0000 0.0000 0.8081
4 Th 0.0000 0.0000 0.1919


Entry B
## PrTh2Ru (PBE-GGA)

Data for PrTh2Ru after structural relaxation.

The value obtained for the density of states at the Fermi level is 1.345 states/eV/atom. The volume comes out at 125.9 Å³ per cell. As for the space-group type: R3m, No. 160.

a = 3.9870 Å, b = 3.9870 Å, c = 9.4340 Å
α = 77.80°, β = 77.80°, γ = 60.00°
Atoms (fractional coordinates):
1 Pr 0.5002 0.5002 0.4995
2 Th 0.0589 0.0589 0.8233
3 Th 0.2749 0.2749 0.1753
4 Ru 0.6660 0.6660 0.0019


Entry C
## PrTh2Ru (PBE-GGA)

Data for PrTh2Ru after structural relaxation.

The value obtained for the density of states at the Fermi level is 1.384 states/eV/atom. The volume comes out at 132.9 Å³ per cell. As for the space-group type: R-3m, No. 166.

a = 3.8590 Å, b = 3.8590 Å, c = 10.5417 Å
α = 79.45°, β = 79.45°, γ = 60.00°
Atoms (fractional coordinates):
1 Pr 0.0000 0.0000 0.0000
2 Ru 0.5000 0.5000 0.5000
3 Th 0.1125 0.1125 0.6625
4 Th 0.8875 0.8875 0.3375


Energies in kJ/mol of atoms, measured from the most stable structure: entry A 7.5; entry B 0.0; entry C 19.5.


Entry A
## PrThRu (PBE-GGA)

Data for PrThRu after structural relaxation.

The value obtained for the density of states at the Fermi level is 1.090 states/eV/atom. The volume comes out at 77.4 Å³ per cell. As for the space-group type: I4mm, No. 107.

a = 3.6278 Å, b = 3.6278 Å, c = 6.4195 Å
α = 106.41°, β = 106.41°, γ = 90.00°
Atoms (fractional coordinates):
1 Pr 0.0107 0.0107 0.0214
2 Ru 0.6893 0.6893 0.3785
3 Th 0.3000 0.3000 0.6001


Entry B
## PrThRu (PBE-GGA)

Data for PrThRu after structural relaxation.

The value obtained for the density of states at the Fermi level is 0.779 states/eV/atom. The volume comes out at 85.4 Å³ per cell. As for the space-group type: F-43m, No. 216.

a = 4.9438 Å, b = 4.9438 Å, c = 4.9438 Å
α = 60.00°, β = 60.00°, γ = 60.00°
Atoms (fractional coordinates):
1 Pr 0.0000 0.0000 0.0000
2 Ru 0.2500 0.2500 0.2500
3 Th 0.5000 0.5000 0.5000


Energies in kJ/mol of atoms, measured from the most stable structure: entry A 0.0; entry B 4.0.


Entry A
## Pr3TlRu (PBE-GGA)

Data for Pr3TlRu after structural relaxation.

The value obtained for the density of states at the Fermi level is 1.012 states/eV/atom. The volume comes out at 165.8 Å³ per cell. As for the space-group type: Pm-3m, No. 221.

a = 5.4932 Å, b = 5.4932 Å, c = 5.4932 Å
α = 90.00°, β = 90.00°, γ = 90.00°
Atoms (fractional coordinates):
1 Pr 0.0000 0.5000 0.0000
2 Pr 0.0000 0.0000 0.5000
3 Pr 0.5000 0.0000 0.0000
4 Ru 0.0000 0.0000 0.0000
5 Tl 0.5000 0.5000 0.5000


Entry B
## Pr3TlRu (PBE-GGA)

Data for Pr3TlRu after structural relaxation.

The value obtained for the density of states at the Fermi level is 0.675 states/eV/atom. The volume comes out at 306.4 Å³ per cell. As for the space-group type: C2/m, No. 12.

a = 5.7664 Å, b = 6.8866 Å, c = 9.1514 Å
α = 109.72°, β = 90.00°, γ = 114.75°
Atoms (fractional coordinates):
1 Pr 0.8930 0.7860 0.7774
2 Pr 0.1070 0.2140 0.2226
3 Pr 0.6163 0.2327 0.9033
4 Pr 0.3837 0.7673 0.0967
5 Pr 0.8395 0.6790 0.3485
6 Pr 0.1605 0.3210 0.6515
7 Tl 0.3889 0.7778 0.5413
8 Tl 0.6111 0.2222 0.4587
9 Ru 0.1386 0.2772 0.9364
10 Ru 0.8614 0.7228 0.0636


Entry C
## Pr3TlRu (PBE-GGA)

Data for Pr3TlRu after structural relaxation.

The value obtained for the density of states at the Fermi level is 0.661 states/eV/atom. The volume comes out at 288.4 Å³ per cell. As for the space-group type: Fmmm, No. 69.

a = 6.1398 Å, b = 6.1398 Å, c = 8.9505 Å
α = 102.28°, β = 102.27°, γ = 112.35°
Atoms (fractional coordinates):
1 Pr 0.3003 0.8003 0.1007
2 Pr 0.6997 0.1997 0.8993
3 Pr 0.0813 0.1954 0.2766
4 Pr 0.9187 0.8046 0.7234
5 Pr 0.6953 0.5813 0.2767
6 Pr 0.3047 0.4187 0.7233
7 Tl 0.7117 0.2117 0.5000
8 Tl 0.2883 0.7883 0.5000
9 Ru 0.2500 0.2500 0.0000
10 Ru 0.7500 0.7500 0.0000


Energies in kJ/mol of atoms, measured from the most stable structure: entry A 14.1; entry B 3.7; entry C 0.0.


Entry A
## Pr2TmRu (PBE-GGA)

Data for Pr2TmRu after structural relaxation.

The value obtained for the density of states at the Fermi level is 0.967 states/eV/atom. The volume comes out at 457.4 Å³ per cell. As for the space-group type: Pnma, No. 62.

a = 6.3878 Å, b = 7.3748 Å, c = 9.7102 Å
α = 90.00°, β = 90.00°, γ = 90.00°
Atoms (fractional coordinates):
1 Pr 0.1708 0.6775 0.0653
2 Pr 0.3292 0.1775 0.4347
3 Pr 0.8292 0.3225 0.5653
4 Pr 0.6708 0.8225 0.9347
5 Pr 0.8292 0.3225 0.9347
6 Pr 0.6708 0.8225 0.5653
7 Pr 0.1708 0.6775 0.4347
8 Pr 0.3292 0.1775 0.0653
9 Tm 0.6479 0.5451 0.2500
10 Tm 0.8521 0.0451 0.2500
11 Tm 0.3521 0.4549 0.7500
12 Tm 0.1479 0.9549 0.7500
13 Ru 0.0360 0.3840 0.2500
14 Ru 0.4640 0.8840 0.2500
15 Ru 0.9640 0.6160 0.7500
16 Ru 0.5360 0.1160 0.7500


Entry B
## Pr2TmRu (PBE-GGA)

Data for Pr2TmRu after structural relaxation.

The value obtained for the density of states at the Fermi level is 1.150 states/eV/atom. The volume comes out at 121.0 Å³ per cell. As for the space-group type: R-3m, No. 166.

a = 3.6124 Å, b = 3.6124 Å, c = 10.9087 Å
α = 80.47°, β = 80.47°, γ = 60.00°
Atoms (fractional coordinates):
1 Pr 0.1057 0.1057 0.6829
2 Pr 0.8943 0.8943 0.3171
3 Ru 0.5000 0.5000 0.5000
4 Tm 0.0000 0.0000 0.0000


Energies in kJ/mol of atoms, measured from the most stable structure: entry A 0.0; entry B 44.0.